No. 1
GdMgZn after structural relaxation. Source: OQMD, functional PBE.

DFT total energy ... -2.589 eV per atom
Size of the total moment ... 0.0 μB per cell

CIF file:
```
data_GdMgZn
_cell_length_a 6.3490
_cell_length_b 6.4043
_cell_length_c 7.7982
_cell_angle_alpha 91.02
_cell_angle_beta 94.40
_cell_angle_gamma 117.29
_symmetry_space_group_name_H-M 'P 1'
_symmetry_Int_Tables_number 1
loop_
_symmetry_equiv_pos_as_xyz
'x,y,z'
loop_
_atom_site_label
_atom_site_fract_x
_atom_site_fract_y
_atom_site_fract_z
Gd1 0.0000 0.0000 0.0000
Gd2 0.1257 0.4152 0.3326
Gd3 0.5159 0.9618 0.2799
Gd4 0.7024 0.6542 0.6232
Mg1 0.2614 0.7873 0.6740
Mg2 0.3956 0.5603 0.9498
Mg3 0.6674 0.5018 0.2295
Mg4 0.8042 0.2105 0.6572
Zn1 0.0501 0.9263 0.3762
Zn2 0.2497 0.2083 0.6603
Zn3 0.5256 0.1682 0.9319
Zn4 0.9527 0.5123 0.9626
```

No. 2
Ba2TbHfO6 after structural relaxation. Source: OQMD, functional PBE.

DFT total energy ... -7.852 eV per atom
Size of the total moment ... 4.0 μB per cell

CIF file:
```
data_Ba2TbHfO6
_cell_length_a 8.5925
_cell_length_b 8.5925
_cell_length_c 8.5925
_cell_angle_alpha 90.00
_cell_angle_beta 90.00
_cell_angle_gamma 90.00
_symmetry_space_group_name_H-M 'F m -3 m'
_symmetry_Int_Tables_number 225
_symmetry_space_group_name_Hall '-F 4 2 3'
loop_
_atom_site_label
_atom_site_fract_x
_atom_site_fract_y
_atom_site_fract_z
Ba1 0.2500 0.2500 0.2500
Tb1 0.0000 0.0000 0.0000
Hf1 0.0000 0.0000 0.5000
O1 0.0000 0.0000 0.2595
```

No. 3
BeFeSnGe after structural relaxation. Source: OQMD, functional PBE.

Energy above the most stable polymorph in this dataset ... 0 meV per atom
Size of the total moment ... 6.3 μB per cell

CIF file:
```
data_BeFeSnGe
_cell_length_a 6.2525
_cell_length_b 6.2525
_cell_length_c 6.2525
_cell_angle_alpha 90.00
_cell_angle_beta 90.00
_cell_angle_gamma 90.00
_symmetry_space_group_name_H-M 'F -4 3 m'
_symmetry_Int_Tables_number 216
_symmetry_space_group_name_Hall 'F -4 2 3'
loop_
_atom_site_label
_atom_site_fract_x
_atom_site_fract_y
_atom_site_fract_z
Be1 0.0000 0.0000 0.0000
Fe1 0.0000 0.0000 0.5000
Sn1 0.2500 0.2500 0.2500
Ge1 0.2500 0.2500 0.7500
```